## K8Zr6BeBr20 (GGA-PBEsol)

Data for a relaxed structure of K8Zr6BeBr20.

a = 11.447 Å, b = 11.447 Å, c = 11.447 Å
α = 60.00°, β = 60.00°, γ = 60.00°
Element x y z (fractional)
K: 0.140 0.140 0.140
K: 0.140 0.140 0.581
K: 0.140 0.581 0.140
K: 0.419 0.860 0.860
K: 0.581 0.140 0.140
K: 0.860 0.419 0.860
K: 0.860 0.860 0.419
K: 0.860 0.860 0.860
Zr: 0.354 0.354 0.646
Zr: 0.354 0.646 0.354
Zr: 0.354 0.646 0.646
Zr: 0.646 0.354 0.354
Zr: 0.646 0.354 0.646
Zr: 0.646 0.646 0.354
Be: 0.500 0.500 0.500
Br: 0.168 0.500 0.500
Br: 0.168 0.500 0.832
Br: 0.168 0.832 0.500
Br: 0.179 0.179 0.821
Br: 0.179 0.821 0.179
Br: 0.179 0.821 0.821
Br: 0.250 0.250 0.250
Br: 0.500 0.168 0.500
Br: 0.500 0.168 0.832
Br: 0.500 0.500 0.168
Br: 0.500 0.500 0.832
Br: 0.500 0.832 0.168
Br: 0.500 0.832 0.500
Br: 0.750 0.750 0.750
Br: 0.821 0.179 0.179
Br: 0.821 0.179 0.821
Br: 0.821 0.821 0.179
Br: 0.832 0.168 0.500
Br: 0.832 0.500 0.168
Br: 0.832 0.500 0.500

Results
The calculation puts the formation energy from raw total energies at -53.14 eV/f.u. Its crystal system is cubic. As for the space-group type: Fm-3m (225). Its total DFT energy (no corrections) is -4.518 eV per atom. The value obtained for the magnetization is 0.00 μB per atom.